# Tb2PmY GGA-PBE relaxed
data_Tb2PmY
_symmetry_space_group_name_H-M 'P 1'
_symmetry_Int_Tables_number 1
_symmetry_space_group_name_Hall 'P 1'
_cell_length_a 3.586
_cell_length_b 3.586
_cell_length_c 10.148
_cell_angle_alpha 90.00
_cell_angle_beta 90.00
_cell_angle_gamma 90.00
loop_
_atom_site_label
_atom_site_type_symbol
_atom_site_fract_x
_atom_site_fract_y
_atom_site_fract_z
_atom_site_occupancy
Tb1 Tb 0.000 0.000 0.248 1
Tb2 Tb 0.000 0.000 0.752 1
Pm1 Pm 0.500 0.500 0.500 1
Y1 Y 0.500 0.500 0.000 1
# - N(E_F): 5.1 states/eV/f.u.
# - ΔE_f: 19 meV per atom
# - Space-group type: No. 123
# - V: 32.6 Å³/atom